# 1
! SCAN Ca3Er3Ge2BO13, single point on PBEsol structure; values from VASP
! N(E_F)	0.0	states/eV/f.u.
! size of the total moment	0.00	μB per cell
! density	5912	kg/m³
! total DFT energy (no corrections)	-17.12	eV/atom
! formation energy from raw total energies	-3183	meV per atom
! space-group type	Pnn2
&SYSTEM
  ibrav = 0, nat = 44, ntyp = 5
/
ATOMIC_SPECIES
Ca 40.08 Ca.upf
Er 167.26 Er.upf
Ge 72.64 Ge.upf
B 10.81 B.upf
O 16.00 O.upf
CELL_PARAMETERS angstrom
7.309 0.000 0.000
0.000 7.316 0.000
0.000 0.000 10.359
ATOMIC_POSITIONS crystal
Ca 0.000 0.000 0.000
Ca 0.229 0.230 0.771
Ca 0.271 0.730 0.271
Ca 0.500 0.500 0.500
Ca 0.729 0.270 0.271
Ca 0.771 0.770 0.771
Er 0.000 0.000 0.543
Er 0.228 0.773 0.771
Er 0.272 0.273 0.271
Er 0.500 0.500 0.043
Er 0.728 0.727 0.271
Er 0.772 0.227 0.771
Ge 0.000 0.500 0.015
Ge 0.000 0.500 0.516
Ge 0.500 0.000 0.016
Ge 0.500 0.000 0.515
B 0.000 0.000 0.273
B 0.500 0.500 0.773
O 0.000 0.000 0.761
O 0.006 0.164 0.358
O 0.009 0.700 0.616
O 0.015 0.695 0.917
O 0.166 0.007 0.193
O 0.197 0.491 0.416
O 0.198 0.486 0.112
O 0.302 0.986 0.612
O 0.303 0.991 0.916
O 0.334 0.507 0.693
O 0.485 0.195 0.417
O 0.491 0.200 0.116
O 0.494 0.664 0.858
O 0.500 0.500 0.261
O 0.506 0.336 0.858
O 0.509 0.800 0.116
O 0.515 0.805 0.417
O 0.666 0.493 0.693
O 0.697 0.009 0.916
O 0.698 0.014 0.612
O 0.802 0.514 0.112
O 0.803 0.509 0.416
O 0.834 0.993 0.193
O 0.985 0.305 0.917
O 0.991 0.300 0.616
O 0.994 0.836 0.358

# 2
! SCAN Ca2BF2, single point on PBEsol structure; values from VASP
! N(E_F)	2.0	states/eV/f.u.
! size of the total moment	0.99	μB per cell
! density	2734	kg/m³
! total DFT energy (no corrections)	-8.49	eV/atom
! formation energy from raw total energies	-1726	meV per atom
! space-group type	I4/mmm
&SYSTEM
  ibrav = 0, nat = 5, ntyp = 3
/
ATOMIC_SPECIES
Ca 40.08 Ca.upf
B 10.81 B.upf
F 19.00 F.upf
CELL_PARAMETERS angstrom
-2.324 2.324 3.626
2.324 -2.324 3.626
2.324 2.324 -3.626
ATOMIC_POSITIONS crystal
Ca 0.250 0.750 0.500
Ca 0.750 0.250 0.500
B 0.000 0.000 0.000
F 0.301 0.301 0.000
F 0.699 0.699 0.000

# 3
! SCAN CaTi2BF, single point on PBEsol structure; values from VASP
! N(E_F)	3.0	states/eV/f.u.
! size of the total moment	3.55	μB per cell
! density	3802	kg/m³
! total DFT energy (no corrections)	-10.76	eV/atom
! formation energy from raw total energies	-222	meV per atom
! space-group type	P4/mmm
&SYSTEM
  ibrav = 0, nat = 5, ntyp = 4
/
ATOMIC_SPECIES
Ca 40.08 Ca.upf
Ti 47.87 Ti.upf
B 10.81 B.upf
F 19.00 F.upf
CELL_PARAMETERS angstrom
4.084 0.000 0.000
0.000 4.084 0.000
0.000 0.000 4.337
ATOMIC_POSITIONS crystal
Ca 0.000 0.000 0.000
Ti 0.000 0.500 0.500
Ti 0.500 0.000 0.500
B 0.500 0.500 0.000
F 0.000 0.000 0.500

# 4
! SCAN CaTiBF2, single point on PBEsol structure; values from VASP
! N(E_F)	1.6	states/eV/f.u.
! size of the total moment	2.77	μB per cell
! density	1620	kg/m³
! total DFT energy (no corrections)	-9.00	eV/atom
! formation energy from raw total energies	-957	meV per atom
! space-group type	P4/mmm
&SYSTEM
  ibrav = 0, nat = 5, ntyp = 4
/
ATOMIC_SPECIES
Ca 40.08 Ca.upf
Ti 47.87 Ti.upf
B 10.81 B.upf
F 19.00 F.upf
CELL_PARAMETERS angstrom
3.991 0.000 0.000
0.000 3.991 0.000
0.000 0.000 8.801
ATOMIC_POSITIONS crystal
Ca 0.000 0.000 0.000
Ti 0.000 0.000 0.500
B 0.500 0.500 0.500
F 0.000 0.500 0.000
F 0.500 0.000 0.000